A relaxed Co2P2O7 crystal. Source: Alexandria, functional PBE+U.

It has space group C2/m (No. 12), with a = 6.587 Å, b = 8.451 Å, c = 4.530 Å, α = 90.00°, β = 103.30° and γ = 90.00°. The distinct sites, in fractional coordinates, are Co at (0.000, 0.186, 0.000), P at (0.216, 0.500, 0.404), O at (0.000, 0.500, 0.500), O at (0.122, 0.000, 0.290) and O at (0.224, 0.348, 0.220).

Its crystal system is monoclinic. For the energy above the lowest structure with this stoichiometry, the calculation gives 0.136 eV/f.u. The calculation puts the magnetic moment at 6.009 μB per formula unit. The volume is 123 Å³/f.u. The density comes out at 3.95 Mg/m³. As for the density of states at the Fermi level: 0.0 states/eV per cell. The energy is -6.8997 eV per atom.